# 1
ScMoRu2 | GGA-PBE | optimized geometry

Cell lengths 4.211, 2.849, 5.430 Å; angles 78.07, 90.00, 90.00 degrees
Atoms (fractional coordinates):
1 Sc 0.500 0.250 0.250
2 Mo 0.500 0.750 0.750
3 Ru 0.000 0.557 0.516
4 Ru 0.000 0.943 0.984

Output
Calculated total energy: -8.9630 eV per atom


# 2
ScMoRu2 | GGA-PBE | optimized geometry

Cell lengths 5.079, 5.079, 5.079 Å; angles 142.77, 125.26, 68.07 degrees
Atoms (fractional coordinates):
1 Mo 0.250 0.750 0.500
2 Ru 0.016 0.016 0.000
3 Ru 0.484 0.484 0.000
4 Sc 0.750 0.250 0.500

Output
Calculated total energy: -8.9562 eV per atom


# 3
Sc2MoRu | GGA-PBE | optimized geometry

Cell lengths 3.057, 3.057, 8.262 Å; angles 90.00, 90.00, 90.00 degrees
Atoms (fractional coordinates):
1 Ru 0.500 0.500 0.722
2 Mo 0.000 0.000 0.539
3 Sc 0.000 0.000 0.940
4 Sc 0.500 0.500 0.299

Output
Calculated total energy: -8.3123 eV per atom
Energy relative to the lowest polymorph listed for this composition: 68 meV/atom


# 4
Sc2MoRu | GGA-PBE | optimized geometry

Cell lengths 4.607, 4.607, 4.607 Å; angles 60.00, 60.00, 60.00 degrees
Atoms (fractional coordinates):
1 Sc 0.000 0.000 0.000
2 Sc 0.250 0.250 0.250
3 Mo 0.500 0.500 0.500
4 Ru 0.750 0.750 0.750

Output
Calculated total energy: -8.2061 eV per atom
Energy relative to the lowest polymorph listed for this composition: 174 meV/atom


# 5
ScMo2Ru2 | GGA-PBE | optimized geometry

Cell lengths 7.626, 7.626, 2.844 Å; angles 90.00, 90.00, 90.00 degrees
Atoms (fractional coordinates):
1 Mo 0.352 0.852 0.000
2 Mo 0.648 0.148 0.000
3 Mo 0.852 0.648 0.000
4 Mo 0.148 0.352 0.000
5 Ru 0.353 0.147 0.500
6 Ru 0.853 0.353 0.500
7 Ru 0.647 0.853 0.500
8 Ru 0.147 0.647 0.500
9 Sc 0.500 0.500 0.000
10 Sc 0.000 0.000 0.000

Output
Calculated total energy: -9.2529 eV per atom


# 6
ScMoRu2 | GGA-PBE | optimized geometry

Cell lengths 9.217, 9.217, 9.217 Å; angles 17.80, 17.80, 17.80 degrees
Atoms (fractional coordinates):
1 Ru 0.999 0.999 0.999
2 Ru 0.253 0.253 0.253
3 Sc 0.503 0.503 0.503
4 Mo 0.745 0.745 0.745

Output
Calculated total energy: -8.7086 eV per atom


# 7
Sc5MoRu6 | GGA-PBE | optimized geometry

Cell lengths 4.513, 7.807, 7.807 Å; angles 119.87, 106.80, 106.80 degrees
Atoms (fractional coordinates):
1 Ru 0.243 0.403 0.082
2 Ru 0.757 0.597 0.918
3 Ru 0.757 0.918 0.597
4 Ru 0.737 0.237 0.237
5 Ru 0.243 0.082 0.403
6 Ru 0.263 0.763 0.763
7 Sc 0.000 0.334 0.666
8 Sc 0.500 0.500 0.500
9 Sc 0.500 0.169 0.831
10 Sc 0.500 0.831 0.169
11 Sc 0.000 0.666 0.334
12 Mo 0.000 0.000 0.000

Output
Calculated total energy: -8.6887 eV per atom


# 8
ScMoRu2 | GGA-PBE | optimized geometry

Cell lengths 8.793, 8.793, 8.793 Å; angles 19.08, 19.08, 19.08 degrees
Atoms (fractional coordinates):
1 Mo 0.750 0.750 0.750
2 Ru 0.498 0.498 0.498
3 Ru 0.002 0.002 0.002
4 Sc 0.250 0.250 0.250

Output
Calculated total energy: -8.8719 eV per atom


# 9
Sc2MoRu | GGA-PBE | optimized geometry

Cell lengths 9.621, 9.621, 9.621 Å; angles 17.94, 17.94, 17.94 degrees
Atoms (fractional coordinates):
1 Mo 0.000 0.000 0.000
2 Sc 0.905 0.905 0.905
3 Sc 0.095 0.095 0.095
4 Ru 0.500 0.500 0.500

Output
Calculated total energy: -7.9038 eV per atom
Energy relative to the lowest polymorph listed for this composition: 477 meV/atom


# 10
ScMoRu2 | GGA-PBE | optimized geometry

Cell lengths 5.326, 5.075, 2.827 Å; angles 78.24, 81.82, 119.02 degrees
Atoms (fractional coordinates):
1 Sc 0.000 0.500 0.500
2 Ru 0.000 0.000 0.000
3 Ru 0.500 0.000 0.500
4 Mo 0.500 0.500 0.000

Output
Calculated total energy: -8.9641 eV per atom


# 11
Sc2MoRu | GGA-PBE | optimized geometry

Cell lengths 5.526, 5.526, 5.526 Å; angles 139.53, 139.53, 58.57 degrees
Atoms (fractional coordinates):
1 Mo 0.500 0.500 0.000
2 Sc 0.000 0.000 0.000
3 Sc 0.250 0.750 0.500
4 Ru 0.750 0.250 0.500

Output
Calculated total energy: -8.1612 eV per atom
Energy relative to the lowest polymorph listed for this composition: 219 meV/atom


# 12
Sc2MoRu | GGA-PBE | optimized geometry

Cell lengths 4.439, 3.018, 5.501 Å; angles 75.32, 90.00, 90.00 degrees
Atoms (fractional coordinates):
1 Sc 0.000 0.980 0.977
2 Sc 0.500 0.247 0.269
3 Ru 0.500 0.730 0.734
4 Mo 0.000 0.544 0.520

Output
Calculated total energy: -8.2504 eV per atom
Energy relative to the lowest polymorph listed for this composition: 130 meV/atom


no.,formation energy (eV per atom)
1,-0.03
2,-0.03
3,-0.12
4,-0.01
5,0.06
6,0.22
7,-0.51
8,0.06
9,0.29
10,-0.04
11,0.03
12,-0.06